Entry 1:
Material: ScCuBOs
Method: DFT, PBE
State: relaxed

Total magnetic moment: 0.00 μB per formula unit
Space group: F-43m, No. 216
Electronic total energy: -0.4828 Ry per atom

Unit cell a=4.2075 b=4.2075 c=4.2075 alpha=60.00 beta=60.00 gamma=60.00
Atoms (fractional coordinates):
B: 0.0000 0.0000 0.0000
Cu: 0.7500 0.7500 0.7500
Os: 0.2500 0.2500 0.2500
Sc: 0.5000 0.5000 0.5000



Entry 2:
Material: ScCuBOs
Method: DFT, PBE
State: relaxed

Total magnetic moment: 0.01 μB per formula unit
Space group: F-43m, No. 216
Electronic total energy: -0.4660 Ry per atom

Unit cell a=4.2619 b=4.2619 c=4.2619 alpha=60.00 beta=60.00 gamma=60.00
Atoms (fractional coordinates):
B: 0.0000 0.0000 0.0000
Cu: 0.7500 0.7500 0.7500
Os: 0.5000 0.5000 0.5000
Sc: 0.2500 0.2500 0.2500



Entry 3:
Material: PaCuB
Method: DFT, PBE
State: relaxed

Total magnetic moment: 0.72 μB per formula unit
Space group: F-43m, No. 216
Electronic total energy: -0.4781 Ry per atom

Unit cell a=4.1325 b=4.1325 c=4.1325 alpha=60.00 beta=60.00 gamma=60.00
Site moments in Bohr magnetons follow the coordinates.
Atoms (fractional coordinates):
B: 0.0000 0.0000 0.0000  0.00
Cu: 0.2500 0.2500 0.2500  0.06
Pa: 0.7500 0.7500 0.7500  0.44



Entry 4:
Material: PaCuB
Method: DFT, PBE
State: relaxed

Total magnetic moment: 0.50 μB per formula unit
Space group: F-43m, No. 216
Electronic total energy: -0.4229 Ry per atom

Unit cell a=4.3445 b=4.3445 c=4.3445 alpha=60.00 beta=60.00 gamma=60.00
Atoms (fractional coordinates):
B: 0.2500 0.2500 0.2500
Cu: 0.7500 0.7500 0.7500
Pa: 0.0000 0.0000 0.0000



Entry 5:
Material: PaCuB
Method: DFT, PBE
State: relaxed

Total magnetic moment: 0.02 μB per formula unit
Space group: F-43m, No. 216
Electronic total energy: -0.4486 Ry per atom

Unit cell a=4.1907 b=4.1907 c=4.1907 alpha=60.00 beta=60.00 gamma=60.00
Atoms (fractional coordinates):
B: 0.2500 0.2500 0.2500
Cu: 0.0000 0.0000 0.0000
Pa: 0.7500 0.7500 0.7500



Entry 6:
Material: CuBPb
Method: DFT, PBE
State: relaxed

Space group: F-43m, No. 216
Electronic total energy: -0.2499 Ry per atom

Unit cell a=4.2936 b=4.2936 c=4.2936 alpha=60.00 beta=60.00 gamma=60.00
Atoms (fractional coordinates):
B: 0.2500 0.2500 0.2500
Cu: 0.7500 0.7500 0.7500
Pb: 0.0000 0.0000 0.0000



Entry 7:
Material: CuB4Pb
Method: DFT, PBE
State: relaxed

Space group: P6/mmm, No. 191
Electronic total energy: -0.3803 Ry per atom

Unit cell a=3.0734 b=3.0734 c=8.3410 alpha=90.00 beta=90.00 gamma=120.00
Atoms (fractional coordinates):
B: 0.6667 0.3333 0.1883
B: 0.3333 0.6667 0.1883
B: 0.6667 0.3333 0.8117
B: 0.3333 0.6667 0.8117
Cu: 0.0000 0.0000 0.0000
Pb: 0.0000 0.0000 0.5000



Entry 8:
Material: CuB2Pb
Method: DFT, PBE
State: relaxed

Space group: F-43m, No. 216
Electronic total energy: -0.2540 Ry per atom

Unit cell a=4.3638 b=4.3638 c=4.3638 alpha=60.00 beta=60.00 gamma=60.00
Atoms (fractional coordinates):
B: 0.0000 0.0000 0.0000
B: 0.7500 0.7500 0.7500
Cu: 0.2500 0.2500 0.2500
Pb: 0.5000 0.5000 0.5000



Entry 9:
Material: CuBPb
Method: DFT, PBE
State: relaxed

Space group: F-43m, No. 216
Electronic total energy: -0.2804 Ry per atom

Unit cell a=4.1046 b=4.1046 c=4.1046 alpha=60.00 beta=60.00 gamma=60.00
Atoms (fractional coordinates):
B: 0.0000 0.0000 0.0000
Cu: 0.2500 0.2500 0.2500
Pb: 0.7500 0.7500 0.7500



Entry 10:
Material: CuB4Pb
Method: DFT, PBE
State: relaxed

Space group: Immm, No. 71
Electronic total energy: -0.3689 Ry per atom

Unit cell a=5.2271 b=5.2271 c=5.2271 alpha=146.12 beta=118.56 gamma=72.05
Atoms (fractional coordinates):
B: 0.5969 0.2595 0.3374
B: 0.0779 0.7405 0.3374
B: 0.9221 0.2595 0.6626
B: 0.4031 0.7405 0.6626
Cu: 0.0000 0.0000 0.0000
Pb: 0.5000 0.5000 0.0000



Entry 11:
Material: CuBPdPb
Method: DFT, PBE
State: relaxed

Space group: F-43m, No. 216
Electronic total energy: -0.2974 Ry per atom

Unit cell a=4.4441 b=4.4441 c=4.4441 alpha=60.00 beta=60.00 gamma=60.00
Atoms (fractional coordinates):
B: 0.2500 0.2500 0.2500
Cu: 0.7500 0.7500 0.7500
Pb: 0.5000 0.5000 0.5000
Pd: 0.0000 0.0000 0.0000



Entry 12:
Material: CuBPdPb
Method: DFT, PBE
State: relaxed

Space group: F-43m, No. 216
Electronic total energy: -0.2935 Ry per atom

Unit cell a=4.4787 b=4.4787 c=4.4787 alpha=60.00 beta=60.00 gamma=60.00
Atoms (fractional coordinates):
B: 0.0000 0.0000 0.0000
Cu: 0.7500 0.7500 0.7500
Pb: 0.5000 0.5000 0.5000
Pd: 0.2500 0.2500 0.2500